No. 1
! CrP2Ru | Alexandria | PBE | optimized geometry; values from VASP
&SYSTEM
  ibrav = 0, nat = 4, ntyp = 3
/
ATOMIC_SPECIES
Cr 52.00 Cr.upf
P 30.97 P.upf
Ru 101.07 Ru.upf
ATOMIC_POSITIONS angstrom
Cr -4.641 0.532 -0.588
P -3.928 2.765 -0.167
P -2.479 -0.990 -0.496
Ru -1.839 1.295 -0.078
CELL_PARAMETERS angstrom
-0.729 -1.191 -2.562
-1.820 -2.485 1.674
-4.135 2.911 -0.176
! E_tot = -7.739 eV/atom
! magnetic moment = 0.40 μB per atom
! ΔH_f (0 K) = -0.3095 eV/atom
! distance to the lowest polymorph of the same formula = 45 kJ/mol of formula units

No. 2
! Cr2P2Ru | Alexandria | PBE | optimized geometry; values from VASP
&SYSTEM
  ibrav = 0, nat = 10, ntyp = 3
/
ATOMIC_SPECIES
Ru 101.07 Ru.upf
P 30.97 P.upf
Cr 52.00 Cr.upf
ATOMIC_POSITIONS angstrom
Ru 0.000 0.000 0.000
Ru 1.513 -0.960 -4.238
P 3.946 -1.355 -4.241
P 1.445 -1.359 -6.669
P -0.920 -0.565 -4.235
P 1.581 -0.561 -1.806
Cr 3.102 -2.364 -2.275
Cr 2.967 -2.932 -5.770
Cr -0.529 -2.359 -5.727
Cr -0.394 -1.791 -2.233
CELL_PARAMETERS angstrom
-2.771 -0.540 -5.862
5.797 -1.380 -2.613
-0.454 -2.803 0.473
! E_tot = -8.135 eV/atom
! magnetic moment = 0.35 μB per atom
! ΔH_f (0 K) = -0.2666 eV/atom